ThTaNi2Ge2 (PBE-GGA, relaxed); density of states at the Fermi level = 0.8988 states/eV/atom; formation energy from the elements = -0.596 eV/atom; symmetry = P-3m1 (164); raw total energy = -43.6 eV per cell
1.0
4.1683 0.0000 0.0000
-2.0842 3.6099 0.0000
0.0000 0.0000 6.9148
Th Ta Ni Ge
1 1 2 2
Cartesian
0.0000 0.0000 0.0000
0.0000 0.0000 3.4574
0.0000 2.4066 4.5800
2.0842 1.2033 2.3348
0.0000 2.4066 1.9355
2.0842 1.2033 4.9793

Tm2TaNi4Ge3 (PBE-GGA, relaxed); density of states at the Fermi level = 0.7904 states/eV/atom; formation energy from the elements = -0.594 eV/atom; symmetry = P-4m2 (115); raw total energy = -63.7 eV per cell
1.0
4.0034 0.0000 0.0000
0.0000 4.0034 0.0000
0.0000 0.0000 10.1399
Tm Ta Ni Ge
2 1 4 3
Cartesian
0.0000 2.0017 2.3868
2.0017 0.0000 7.7531
0.0000 0.0000 5.0699
0.0000 0.0000 0.0000
0.0000 2.0017 6.4952
2.0017 0.0000 3.6447
2.0017 2.0017 0.0000
0.0000 2.0017 8.8134
2.0017 0.0000 1.3264
2.0017 2.0017 5.0699

Tb2Ni6Ge (PBE-GGA, relaxed); density of states at the Fermi level = 0.6571 states/eV/atom; formation energy from the elements = -0.393 eV/atom; symmetry = Fm-3m (225); raw total energy = -52.1 eV per cell
1.0
0.0000 4.0873 4.0873
4.0873 0.0000 4.0873
4.0873 4.0873 0.0000
Tb Ni Ge
2 6 1
Cartesian
2.0437 2.0437 2.0437
6.1310 6.1310 6.1310
4.0873 4.0873 1.7551
4.0873 1.7551 4.0873
6.4196 4.0873 4.0873
1.7551 4.0873 4.0873
4.0873 6.4196 4.0873
4.0873 4.0873 6.4196
4.0873 4.0873 4.0873

Tb4Ni3Ge8 (PBE-GGA, relaxed); density of states at the Fermi level = 0.3069 states/eV/atom; formation energy from the elements = -0.704 eV/atom; symmetry = Pmm2 (25); raw total energy = -83.4 eV per cell
1.0
4.1024 0.0000 0.0000
0.0000 4.1358 0.0000
0.0000 0.0000 16.6014
Tb Ni Ge
4 3 8
Cartesian
0.0000 0.0000 0.0000
0.0000 2.0679 8.2225
2.0512 0.0000 13.0621
2.0512 2.0679 4.7099
0.0000 2.0679 11.8600
2.0512 0.0000 9.4576
2.0512 2.0679 1.3250
0.0000 0.0000 5.5710
0.0000 0.0000 10.6547
0.0000 2.0679 2.4987
0.0000 2.0679 14.1577
2.0512 0.0000 2.5094
2.0512 0.0000 7.1424
2.0512 2.0679 10.6434
2.0512 2.0679 15.6180

TbNi6Ge12 (PBE-GGA, relaxed); density of states at the Fermi level = 0.3604 states/eV/atom; formation energy from the elements = -0.001 eV/atom; symmetry = Im-3 (204); raw total energy = -94.7 eV per cell
1.0
-4.3429 4.3429 4.3429
4.3429 -4.3429 4.3429
4.3429 4.3429 -4.3429
Tb Ni Ge
1 6 12
Cartesian
0.0000 0.0000 0.0000
4.3429 0.0000 1.2779
4.3429 3.0650 0.0000
1.2779 4.3429 0.0000
3.0650 0.0000 4.3429
0.0000 1.2779 4.3429
0.0000 4.3429 3.0650
4.3429 -1.6916 2.9074
2.6513 1.4355 0.0000
6.0345 1.4355 0.0000
2.9074 4.3429 -1.6916
1.4355 0.0000 2.6513
0.0000 2.6513 1.4355
4.3429 1.6916 2.9074
2.9074 4.3429 1.6916
1.4355 0.0000 6.0345
-1.6916 2.9074 4.3429
1.6916 2.9074 4.3429
0.0000 6.0345 1.4355

Tb3Ni6Ge5 (PBE-GGA, relaxed); density of states at the Fermi level = 0.7057 states/eV/atom; formation energy from the elements = -0.671 eV/atom; symmetry = Pmmn (59); raw total energy = -162.1 eV per cell
1.0
4.0002 0.0000 0.0000
0.0000 12.1941 0.0000
0.0000 0.0000 9.3112
Tb Ni Ge
6 12 10
Cartesian
1.0000 0.9688 2.2859
1.0000 5.1283 2.2859
1.0000 9.1456 2.3097
3.0001 3.0485 7.0015
3.0001 7.0658 7.0252
3.0001 11.2253 7.0252
1.0000 0.7276 5.5190
1.0000 3.0485 4.6261
1.0000 3.0485 9.2857
1.0000 5.3694 5.5190
1.0000 7.1035 0.0230
1.0000 11.1876 0.0230
3.0001 1.0065 9.2882
3.0001 5.0906 9.2882
3.0001 6.8247 3.7922
3.0001 9.1456 0.0255
3.0001 9.1456 4.6851
3.0001 11.4665 3.7922
1.0000 1.0157 7.9727
1.0000 5.0813 7.9727
1.0000 7.6921 4.8867
1.0000 9.1456 7.9948
1.0000 10.5990 4.8867
3.0001 1.5951 4.4245
3.0001 3.0485 1.3164
3.0001 4.5020 4.4245
3.0001 7.1128 1.3385
3.0001 11.1784 1.3385

TbNiGe2 (PBE-GGA, relaxed); density of states at the Fermi level = 0.3472 states/eV/atom; formation energy from the elements = -0.714 eV/atom; symmetry = Immm (71); raw total energy = -90.0 eV per cell
1.0
-2.0944 4.2724 8.0148
2.0944 -4.2724 8.0148
2.0944 4.2724 -8.0148
Tb Ni Ge
4 4 8
Cartesian
0.0000 0.0000 3.2803
0.0000 2.0590 0.0000
0.0000 6.4858 0.0000
0.0000 0.0000 12.7493
2.0944 2.1316 -2.3753
2.0944 2.1316 2.3753
0.0000 2.1408 5.6395
0.0000 2.1408 10.3901
2.0944 0.0000 1.2339
2.0944 -1.3428 4.8863
0.0000 0.0000 6.7294
2.0944 1.3428 4.8863
0.0000 2.9296 3.1284
0.0000 0.0000 9.3001
0.0000 5.6152 3.1284
0.0000 4.2724 6.7808

Tb2Ni5Ge3 (PBE-GGA, relaxed); relative energy among the computed polymorphs = 0.0 meV/atom; density of states at the Fermi level = 0.5152 states/eV/atom; formation energy from the elements = -0.529 eV/atom; symmetry = Cmc2_1 (36); raw total energy = -114.6 eV per cell
1.0
2.0476 -11.5820 0.0000
2.0476 11.5820 0.0000
0.0000 0.0000 6.5336
Tb Ni Ge
4 10 6
Cartesian
2.0476 10.9859 3.2668
2.0476 4.0276 3.6852
2.0476 -4.0276 0.4184
2.0476 -10.9859 0.0000
2.0476 9.4511 0.6003
2.0476 6.9811 2.7258
2.0476 6.2992 5.2994
2.0476 2.9203 0.0805
2.0476 1.3557 2.1572
2.0476 -1.3557 5.4241
2.0476 -2.9203 3.3473
2.0476 -6.2992 2.0326
2.0476 -6.9811 5.9926
2.0476 -9.4511 3.8671
2.0476 8.6558 4.8489
2.0476 5.2687 0.8176
2.0476 1.1555 4.5963
2.0476 -1.1555 1.3295
2.0476 -5.2687 4.0844
2.0476 -8.6558 1.5821

Tb3Ni7Ge4 (PBE-GGA, relaxed); density of states at the Fermi level = 0.7600 states/eV/atom; formation energy from the elements = -0.606 eV/atom; symmetry = C2/m (12); raw total energy = -81.3 eV per cell
1.0
7.4610 -2.0223 0.0000
7.4610 2.0223 0.0000
-5.1645 0.0000 7.2102
Tb Ni Ge
3 7 4
Cartesian
0.0000 0.0000 0.0000
3.1248 0.0000 2.2487
6.6328 0.0000 4.9615
-2.5822 0.0000 3.6051
-2.5070 0.0000 6.1617
1.2446 0.0000 4.9252
3.7438 0.0000 5.1518
6.0137 0.0000 2.0584
8.5130 0.0000 2.2850
12.2646 0.0000 1.0485
-0.2454 0.0000 2.8856
-0.0714 0.0000 7.0086
9.8290 0.0000 0.2016
10.0030 0.0000 4.3246

Tb3Ni3Ge (PBE-GGA, relaxed); density of states at the Fermi level = 0.7334 states/eV/atom; formation energy from the elements = -0.540 eV/atom; symmetry = C2/m (12); raw total energy = -79.3 eV per cell
1.0
5.1577 -2.0219 0.0000
5.1577 2.0219 0.0000
-4.8276 0.0000 13.1195
Tb Ni Ge
6 6 2
Cartesian
-1.5589 0.0000 5.0680
-3.3683 0.0000 12.1211
1.4399 0.0000 2.9907
4.0479 0.0000 10.1289
8.8561 0.0000 0.9984
7.0467 0.0000 8.0515
1.5443 0.0000 6.0202
-0.3854 0.0000 12.1244
1.0196 0.0000 10.1076
4.4682 0.0000 3.0120
5.8732 0.0000 0.9951
3.9435 0.0000 7.0993
-0.2639 0.0000 7.9477
5.7517 0.0000 5.1719

Tb2Ni3Ge (PBE-GGA, relaxed); density of states at the Fermi level = 0.7616 states/eV/atom; formation energy from the elements = -0.547 eV/atom; symmetry = Pmm2 (25); raw total energy = -34.5 eV per cell
1.0
3.7361 0.0000 0.0000
0.0000 4.0577 0.0000
0.0000 0.0000 7.1493
Tb Ni Ge
2 3 1
Cartesian
0.0000 0.0000 0.0000
0.0000 2.0289 3.3906
1.8681 0.0000 2.2796
1.8681 0.0000 4.6409
1.8681 2.0289 1.0603
1.8681 2.0289 5.8296

Tb2NiGe (PBE-GGA, relaxed); density of states at the Fermi level = 0.6389 states/eV/atom; formation energy from the elements = -0.518 eV/atom; symmetry = P4/mmm (123); raw total energy = -21.7 eV per cell
1.0
3.4442 0.0000 0.0000
0.0000 3.4442 0.0000
0.0000 0.0000 7.1740
Tb Ni Ge
2 1 1
Cartesian
0.0000 0.0000 1.6842
0.0000 0.0000 5.4898
1.7221 1.7221 0.0000
1.7221 1.7221 3.5870

raw total energy of number 10 (Tb3Ni3Ge)?
-79.3 eV per cell

Which of these has the lowest raw total energy?
Tb3Ni6Ge5

Please write out number 5 again, unchanged.
TbNi6Ge12 (PBE-GGA, relaxed); density of states at the Fermi level = 0.3604 states/eV/atom; formation energy from the elements = -0.001 eV/atom; symmetry = Im-3 (204); raw total energy = -94.7 eV per cell
1.0
-4.3429 4.3429 4.3429
4.3429 -4.3429 4.3429
4.3429 4.3429 -4.3429
Tb Ni Ge
1 6 12
Cartesian
0.0000 0.0000 0.0000
4.3429 0.0000 1.2779
4.3429 3.0650 0.0000
1.2779 4.3429 0.0000
3.0650 0.0000 4.3429
0.0000 1.2779 4.3429
0.0000 4.3429 3.0650
4.3429 -1.6916 2.9074
2.6513 1.4355 0.0000
6.0345 1.4355 0.0000
2.9074 4.3429 -1.6916
1.4355 0.0000 2.6513
0.0000 2.6513 1.4355
4.3429 1.6916 2.9074
2.9074 4.3429 1.6916
1.4355 0.0000 6.0345
-1.6916 2.9074 4.3429
1.6916 2.9074 4.3429
0.0000 6.0345 1.4355

Which of these has the lowest formation energy from the elements?
TbNiGe2